(1)
Pr2RuC2 | PBE-GGA | optimized geometry

The structure in POSCAR format:
```
Pr2RuC2
1.0
5.751 -2.689 0.000
5.751 2.689 0.000
-3.582 0.000 5.984
Pr Ru C
4 2 4
Direct
0.037 0.037 0.284
0.317 0.317 0.878
0.683 0.683 0.122
0.963 0.963 0.716
0.366 0.366 0.370
0.634 0.634 0.630
0.181 0.181 0.107
0.491 0.491 0.709
0.509 0.509 0.291
0.819 0.819 0.893
```

Output
* DOS(E_F): 0.822 states/eV/atom
* magnetization: 0.002 Bohr magnetons per cell
* final energy: -7.579 eV/atom
* formation enthalpy at 0 K: -0.123 eV per atom
* symmetry: No. 12



(2)
PrSiRu2C | PBE-GGA | optimized geometry

The structure in POSCAR format:
```
PrSiRu2C
1.0
1.983 -5.571 0.000
1.983 5.571 0.000
0.000 0.000 7.235
Pr Si Ru C
2 2 4 2
Direct
0.051 0.949 0.750
0.949 0.051 0.250
0.228 0.772 0.250
0.772 0.228 0.750
0.335 0.665 0.559
0.335 0.665 0.941
0.665 0.335 0.059
0.665 0.335 0.441
0.500 0.500 0.000
0.500 0.500 0.500
```

Output
* DOS(E_F): 0.606 states/eV/atom
* magnetization: 0.000 Bohr magnetons per cell
* final energy: -8.150 eV/atom
* symmetry: No. 63



(3)
PrZn2Ru2C | PBE-GGA | optimized geometry

The structure in POSCAR format:
```
PrZn2Ru2C
1.0
4.122 0.000 0.000
0.000 4.122 0.000
0.000 0.000 5.632
Pr Zn Ru C
1 2 2 1
Direct
0.000 0.000 0.000
0.500 0.500 0.220
0.500 0.500 0.780
0.000 0.500 0.500
0.500 0.000 0.500
0.000 0.000 0.500
```

Output
* DOS(E_F): 0.701 states/eV/atom
* magnetization: 0.000 Bohr magnetons per cell
* final energy: -6.107 eV/atom
* formation enthalpy at 0 K: -0.257 eV per atom
* symmetry: No. 123



(4)
Pr2ZnRuC | PBE-GGA | optimized geometry

The structure in POSCAR format:
```
Pr2ZnRuC
1.0
5.261 0.000 0.000
0.000 5.261 0.000
0.000 0.000 3.911
Pr Zn Ru C
2 1 1 1
Direct
0.000 0.500 0.000
0.500 0.000 0.000
0.000 0.000 0.500
0.500 0.500 0.500
0.500 0.500 0.000
```

Output
* DOS(E_F): 0.524 states/eV/atom
* magnetization: 0.000 Bohr magnetons per cell
* final energy: -6.115 eV/atom
* formation enthalpy at 0 K: -0.248 eV per atom
* symmetry: No. 123



(5)
Pr2Zn2Ru2C | PBE-GGA | optimized geometry

The structure in POSCAR format:
```
Pr2Zn2Ru2C
1.0
10.905 0.000 0.000
0.000 4.030 0.000
-4.344 0.000 6.076
Pr Zn Ru C
4 4 4 2
Direct
0.067 0.000 0.289
0.433 0.500 0.711
0.567 0.500 0.289
0.933 0.000 0.711
0.139 0.500 0.676
0.361 0.000 0.324
0.639 0.000 0.676
0.861 0.500 0.324
0.196 0.500 0.067
0.304 0.000 0.933
0.696 0.000 0.067
0.804 0.500 0.933
0.000 0.500 0.000
0.500 0.000 0.000
```

Output
* DOS(E_F): 0.632 states/eV/atom
* magnetization: 0.000 Bohr magnetons per cell
* final energy: -5.968 eV/atom
* formation enthalpy at 0 K: -0.271 eV per atom
* symmetry: No. 12



(6)
Pr2C2S | PBE-GGA | optimized geometry

The structure in POSCAR format:
```
Pr2C2S
1.0
7.226 -2.028 0.000
7.226 2.028 0.000
-1.784 0.000 6.821
Pr C S
4 4 2
Direct
0.084 0.651 0.847
0.349 0.916 0.653
0.651 0.084 0.347
0.916 0.349 0.153
0.119 0.442 0.466
0.442 0.119 0.966
0.558 0.881 0.034
0.881 0.558 0.534
0.282 0.718 0.250
0.718 0.282 0.750
```

Output
* DOS(E_F): 0.273 states/eV/atom
* magnetization: 0.000 Bohr magnetons per cell
* final energy: -7.325 eV/atom
* symmetry: No. 15



(7)
Pr2CS | PBE-GGA | optimized geometry

The structure in POSCAR format:
```
Pr2CS
1.0
3.874 0.000 0.000
-1.937 3.355 0.000
0.000 0.000 20.706
Pr C S
6 3 3
Direct
0.000 0.000 0.000
0.000 0.000 0.192
0.333 0.667 0.667
0.333 0.667 0.859
0.667 0.333 0.333
0.667 0.333 0.526
0.000 0.000 0.597
0.333 0.667 0.263
0.667 0.333 0.930
0.000 0.000 0.428
0.333 0.667 0.095
0.667 0.333 0.762
```

Output
* DOS(E_F): 0.181 states/eV/atom
* magnetization: 0.000 Bohr magnetons per cell
* final energy: -6.717 eV/atom
* symmetry: No. 160



(8)
Pr4C2S | PBE-GGA | optimized geometry

The structure in POSCAR format:
```
Pr4C2S
1.0
1.929 1.114 13.504
-1.929 1.114 13.504
0.000 -2.228 13.504
Pr C S
4 2 1
Direct
0.116 0.116 0.116
0.288 0.288 0.288
0.712 0.712 0.712
0.884 0.884 0.884
0.419 0.419 0.419
0.581 0.581 0.581
0.000 0.000 0.000
```

Output
* DOS(E_F): 0.488 states/eV/atom
* magnetization: 0.000 Bohr magnetons per cell
* final energy: -6.597 eV/atom
* symmetry: No. 166



(9)
Pr2CS | PBE-GGA | optimized geometry

The structure in POSCAR format:
```
Pr2CS
1.0
3.927 0.000 0.000
-1.963 3.401 0.000
0.000 0.000 20.080
Pr C S
6 3 3
Direct
0.000 0.000 0.239
0.000 0.000 0.761
0.333 0.667 0.428
0.333 0.667 0.906
0.667 0.333 0.094
0.667 0.333 0.572
0.000 0.000 0.500
0.333 0.667 0.167
0.667 0.333 0.833
0.000 0.000 0.000
0.333 0.667 0.667
0.667 0.333 0.333
```

Output
* DOS(E_F): 0.175 states/eV/atom
* magnetization: 0.000 Bohr magnetons per cell
* final energy: -6.782 eV/atom
* symmetry: No. 166



(10)
Pr3CS2 | PBE-GGA | optimized geometry

The structure in POSCAR format:
```
Pr3CS2
1.0
0.000 5.699 11.990
4.054 0.000 11.990
4.054 5.699 0.000
Pr C S
12 4 8
Direct
0.036 0.537 0.188
0.097 0.653 0.653
0.188 0.739 0.036
0.261 0.812 0.463
0.347 0.903 0.903
0.463 0.964 0.261
0.537 0.036 0.739
0.653 0.097 0.097
0.739 0.188 0.537
0.812 0.261 0.964
0.903 0.347 0.347
0.964 0.463 0.812
0.041 0.041 0.209
0.209 0.209 0.041
0.791 0.791 0.959
0.959 0.959 0.791
0.127 0.127 0.623
0.294 0.294 0.456
0.377 0.377 0.873
0.456 0.456 0.294
0.544 0.544 0.706
0.623 0.623 0.127
0.706 0.706 0.544
0.873 0.873 0.377
```

Output
* DOS(E_F): 0.203 states/eV/atom
* magnetization: 0.000 Bohr magnetons per cell
* final energy: -6.731 eV/atom
* symmetry: No. 70



(11)
Pr4CS3 | PBE-GGA | optimized geometry

The structure in POSCAR format:
```
Pr4CS3
1.0
8.201 0.000 0.000
0.000 11.469 0.000
0.000 0.000 4.002
Pr C S
8 2 6
Direct
0.000 0.233 0.000
0.000 0.767 0.000
0.223 0.000 0.500
0.277 0.500 0.500
0.500 0.267 0.000
0.500 0.733 0.000
0.723 0.500 0.500
0.777 0.000 0.500
0.000 0.000 0.000
0.500 0.500 0.000
0.000 0.500 0.000
0.250 0.250 0.500
0.250 0.750 0.500
0.500 0.000 0.000
0.750 0.250 0.500
0.750 0.750 0.500
```

Output
* DOS(E_F): 0.277 states/eV/atom
* magnetization: 0.000 Bohr magnetons per cell
* final energy: -6.668 eV/atom
* symmetry: No. 65



(12)
Pr6C3S2 | PBE-GGA | optimized geometry

The structure in POSCAR format:
```
Pr6C3S2
1.0
3.360 -5.823 0.000
3.360 5.823 0.000
-2.271 0.000 6.735
Pr C S
6 3 2
Direct
0.064 0.405 0.214
0.255 0.255 0.792
0.405 0.064 0.214
0.595 0.936 0.786
0.745 0.745 0.208
0.936 0.595 0.786
0.000 0.000 0.000
0.328 0.672 0.000
0.672 0.328 0.000
0.165 0.835 0.500
0.835 0.165 0.500
```

Output
* DOS(E_F): 0.427 states/eV/atom
* magnetization: 0.917 Bohr magnetons per cell
* final energy: -6.670 eV/atom
* symmetry: No. 12